This record from Alexandria describes a relaxed Y2MnTl crystal. The functional is GGA-PBE.

Theoretical density: 7.5 g/cm³
ΔH_f (0 K): 0.45 eV per atom
DFT total energy: -5.6615 eV per atom
SG: No. 122

Unit cell a=6.432 b=6.432 c=6.432 alpha=102.73 beta=102.73 gamma=123.99
Positions (direct):
Y1 0.063 0.125 0.438
Y2 0.375 0.937 0.062
Y3 0.687 0.625 0.562
Y4 0.875 0.313 0.938
Mn1 0.000 0.000 0.000
Mn2 0.750 0.250 0.500
Tl1 0.250 0.750 0.500
Tl2 0.500 0.500 0.000